## DyTh2In3Hg6 (PBE)

Data for an optimized crystal structure of DyTh2In3Hg6.

Cell: 4.2031 4.2031 21.0234 Å, 90.00 90.00 90.00°
Space group P4/mmm (No. 123)
Symmetry-distinct sites (fractional):
Dy: 0.0000 0.0000 0.0000 [1 per cell]
Th: 0.0000 0.0000 0.2834 [2 per cell]
In: 0.5000 0.5000 0.2175 [2 per cell]
In: 0.5000 0.5000 0.5000 [1 per cell]
Hg: 0.0000 0.5000 0.1098 [4 per cell]
Hg: 0.5000 0.5000 0.3650 [2 per cell]

Calculated values
ΔH_f (0 K): 0.0362 eV per atom



## TbPmEu2 (PBE)

Data for an optimized crystal structure of TbPmEu2.

Cell: 3.6821 3.6821 10.6701 Å, 90.00 90.00 90.00°
Space group P4/mmm (No. 123)
Symmetry-distinct sites (fractional):
Tb: 0.0000 0.0000 0.0000 [1 per cell]
Pm: 0.0000 0.0000 0.5000 [1 per cell]
Eu: 0.5000 0.5000 0.2468 [2 per cell]

Calculated values
ΔH_f (0 K): 0.1062 eV per atom
offset from the most stable computed form: 0.000 eV/atom



## Cd2Ni2Cl (PBE)

Data for an optimized crystal structure of Cd2Ni2Cl.

Cell: 4.0882 4.0882 11.5963 Å, 90.00 90.00 90.00°
Space group I4/mmm (No. 139)
Symmetry-distinct sites (fractional):
Cd: 0.0000 0.5000 0.2500 [4 per cell]
Ni: 0.0000 0.0000 0.1020 [4 per cell]
Cl: 0.0000 0.0000 0.5000 [2 per cell]

Calculated values
ΔE_f (raw): 2.03 eV/f.u.
offset from the most stable computed form: 0.275 eV/atom



## ErTm3Ir2 (PBE)

Data for an optimized crystal structure of ErTm3Ir2.

Cell: 6.6674 13.4499 6.9623 Å, 90.00 90.00 90.00°
Space group Ibam (No. 72)
Symmetry-distinct sites (fractional):
Er: 0.0000 0.0000 0.0000 [4 per cell]
Tm: 0.0000 0.2338 0.2500 [8 per cell]
Tm: 0.0000 0.5000 0.2500 [4 per cell]
Ir: 0.2123 0.3616 0.0000 [8 per cell]

Calculated values
ΔH_f (0 K): -0.6939 eV per atom
offset from the most stable computed form: 0.091 eV/atom



## TbDy12Ho5 (PBE)

Data for an optimized crystal structure of TbDy12Ho5.

Cell: 10.5826 4.9899 10.5941 Å, 90.00 90.12 90.00°
Space group P2/m (No. 10)
Symmetry-distinct sites (fractional):
Tb: 0.0000 0.0000 0.0000 [1 per cell]
Dy: 0.9999 0.0000 0.3335 [2 per cell]
Dy: 0.1668 0.5000 0.1668 [2 per cell]
Dy: 0.1670 0.5000 0.5003 [2 per cell]
Dy: 0.3335 0.0000 0.9999 [2 per cell]
Dy: 0.3337 0.0000 0.3337 [2 per cell]
Dy: 0.5002 0.5000 0.1670 [2 per cell]
Ho: 0.1669 0.5000 0.8331 [2 per cell]
Ho: 0.3334 0.0000 0.6667 [2 per cell]
Ho: 0.5000 0.5000 0.5000 [1 per cell]

Calculated values
ΔH_f (0 K): 0.0186 eV per atom



## Nb2Si4W (PBE)

Data for an optimized crystal structure of Nb2Si4W.

Cell: 4.6702 4.6702 12.6780 Å, 90.00 90.00 90.00°
Space group I4/mmm (No. 139)
Symmetry-distinct sites (fractional):
Nb: 0.0000 0.0000 0.1032 [4 per cell]
Si: 0.0000 0.0000 0.3053 [4 per cell]
Si: 0.0000 0.5000 0.0000 [4 per cell]
W: 0.0000 0.0000 0.5000 [2 per cell]

Calculated values
ΔE_f (raw): 3.77 eV/f.u.



## MnAl2Sb (PBE)

Data for an optimized crystal structure of MnAl2Sb.

Cell: 3.9261 4.3916 8.3855 Å, 90.00 90.00 90.00°
Space group Imm2 (No. 44)
Symmetry-distinct sites (fractional):
Mn: 0.0000 0.0000 0.0000 [2 per cell]
Al: 0.0000 0.0000 0.5119 [2 per cell]
Al: 0.0000 0.5000 0.2619 [2 per cell]
Sb: 0.0000 0.5000 0.7526 [2 per cell]

Calculated values
ΔE_f (raw): 0.70 eV/f.u.



## Sr2TcBr (PBE)

Data for an optimized crystal structure of Sr2TcBr.

Cell: 11.9065 3.6342 5.3565 Å, 90.00 90.10 90.00°
Space group Cm (No. 8)
Symmetry-distinct sites (fractional):
Sr: 0.0000 0.0000 0.0000 [2 per cell]
Sr: 0.2372 0.5000 0.5019 [2 per cell]
Tc: 0.2554 0.0000 0.0023 [2 per cell]
Br: 0.4724 0.0000 0.4995 [2 per cell]

Calculated values
ΔE_f (raw): 0.00 eV/f.u.
offset from the most stable computed form: 0.167 eV/atom



## Gd2CuO4 (PBE)

Data for an optimized crystal structure of Gd2CuO4.

Cell: 5.6616 5.6629 6.2743 Å, 90.00 106.36 90.00°
Space group P2_1/m (No. 11)
Symmetry-distinct sites (fractional):
Gd: 0.1400 0.2500 0.1045 [2 per cell]
Gd: 0.2550 0.7500 0.5105 [2 per cell]
Cu: 0.3431 0.2500 0.7401 [2 per cell]
O: 0.0860 0.0158 0.7545 [4 per cell]
O: 0.4283 0.5044 0.2767 [4 per cell]

Calculated values
ΔE_f (raw): -17.52 eV/f.u.
offset from the most stable computed form: 0.128 eV/atom



## CeMgIn2Cu2 (PBE)

Data for an optimized crystal structure of CeMgIn2Cu2.

Cell: 4.6033 4.6033 6.8769 Å, 90.00 90.00 120.00°
Space group P-3m1 (No. 164)
Symmetry-distinct sites (fractional):
Ce: 0.0000 0.0000 0.0000 [1 per cell]
Mg: 0.0000 0.0000 0.5000 [1 per cell]
In: 0.3333 0.6667 0.7250 [2 per cell]
Cu: 0.3333 0.6667 0.2743 [2 per cell]

Calculated values
ΔH_f (0 K): -0.1861 eV per atom



## CeHo4Tm10 (PBE)

Data for an optimized crystal structure of CeHo4Tm10.

Cell: 9.6662 9.6662 10.4522 Å, 90.00 90.00 90.00°
Space group I4/m (No. 87)
Symmetry-distinct sites (fractional):
Ce: 0.0000 0.0000 0.0000 [2 per cell]
Ho: 0.0495 0.7195 0.5000 [8 per cell]
Tm: 0.0000 0.5000 0.2500 [4 per cell]
Tm: 0.1245 0.7868 0.1678 [16 per cell]

Calculated values
ΔH_f (0 K): 0.4823 eV per atom



## Li2PdRu (PBE)

Data for an optimized crystal structure of Li2PdRu.

Cell: 2.6839 2.6839 27.6208 Å, 90.00 90.00 120.00°
Space group R-3m (No. 166, hexagonal axes)
Symmetry-distinct sites (fractional):
Li: 0.0000 0.0000 0.0891 [6 per cell]
Pd: 0.0000 0.0000 0.5000 [3 per cell]
Ru: 0.0000 0.0000 0.0000 [3 per cell]

Calculated values
ΔH_f (0 K): 0.0154 eV per atom
offset from the most stable computed form: 0.000 eV/atom



## Tb2Pm4Pr3 (PBE)

Data for an optimized crystal structure of Tb2Pm4Pr3.

Cell: 3.6494 3.6494 27.2324 Å, 90.00 90.00 120.00°
Space group P3m1 (No. 156)
Symmetry-distinct sites (fractional):
Tb: 0.0000 0.0000 0.0000 [1 per cell]
Tb: 0.0000 0.0000 0.2166 [1 per cell]
Pm: 0.0000 0.0000 0.3410 [1 per cell]
Pm: 0.0000 0.0000 0.5625 [1 per cell]
Pm: 0.3333 0.6667 0.6702 [1 per cell]
Pm: 0.3333 0.6667 0.8948 [1 per cell]
Pr: 0.0000 0.0000 0.7822 [1 per cell]
Pr: 0.3333 0.6667 0.1115 [1 per cell]
Pr: 0.3333 0.6667 0.4484 [1 per cell]

Calculated values
ΔH_f (0 K): 0.0683 eV per atom
offset from the most stable computed form: 0.053 eV/atom



## NpSc4Rh15 (PBE)

Data for an optimized crystal structure of NpSc4Rh15.

Cell: 3.9484 3.9484 19.7059 Å, 90.00 90.00 90.00°
Space group P4/mmm (No. 123)
Symmetry-distinct sites (fractional):
Np: 0.0000 0.0000 0.0000 [1 per cell]
Sc: 0.0000 0.0000 0.2027 [2 per cell]
Sc: 0.0000 0.0000 0.4007 [2 per cell]
Rh: 0.0000 0.5000 0.0992 [4 per cell]
Rh: 0.0000 0.5000 0.3015 [4 per cell]
Rh: 0.0000 0.5000 0.5000 [2 per cell]
Rh: 0.5000 0.5000 0.0000 [1 per cell]
Rh: 0.5000 0.5000 0.2026 [2 per cell]
Rh: 0.5000 0.5000 0.4007 [2 per cell]

Calculated values
ΔH_f (0 K): -0.5747 eV per atom



## Er4CdTc (PBE)

Data for an optimized crystal structure of Er4CdTc.

Cell: 8.5910 12.6471 6.2047 Å, 90.00 106.83 90.00°
Space group C2/c (No. 15)
Symmetry-distinct sites (fractional):
Er: 0.1052 0.1702 0.0462 [8 per cell]
Er: 0.2211 0.4190 0.3934 [8 per cell]
Cd: 0.0000 0.3744 0.7500 [4 per cell]
Tc: 0.0000 0.0010 0.2500 [4 per cell]

Calculated values
ΔH_f (0 K): -0.2019 eV per atom
offset from the most stable computed form: 0.000 eV/atom



## BaCa2Zn2In2 (PBE)

Data for an optimized crystal structure of BaCa2Zn2In2.

Cell: 4.8730 4.8730 30.9436 Å, 90.00 90.00 120.00°
Space group R-3m (No. 166, hexagonal axes)
Symmetry-distinct sites (fractional):
Ba: 0.0000 0.0000 0.0000 [3 per cell]
Ca: 0.0000 0.0000 0.1301 [6 per cell]
Zn: 0.0000 0.0000 0.4143 [6 per cell]
In: 0.0000 0.0000 0.2514 [6 per cell]

Calculated values
ΔH_f (0 K): -0.3251 eV per atom



## AgAs2Os (PBE)

Data for an optimized crystal structure of AgAs2Os.

Cell: 2.9738 2.9738 8.2354 Å, 90.00 90.00 90.00°
Space group P4mm (No. 99)
Symmetry-distinct sites (fractional):
Ag: 0.0000 0.0000 0.0000 [1 per cell]
As: 0.0000 0.0000 0.5812 [1 per cell]
As: 0.5000 0.5000 0.2413 [1 per cell]
Os: 0.5000 0.5000 0.7465 [1 per cell]

Calculated values
ΔH_f (0 K): 0.3620 eV per atom
offset from the most stable computed form: 0.177 eV/atom



## CeDyOs (PBE)

Data for an optimized crystal structure of CeDyOs.

Cell: 3.0510 3.0510 16.1670 Å, 90.00 90.00 90.00°
Space group I4mm (No. 107)
Symmetry-distinct sites (fractional):
Ce: 0.0000 0.0000 0.0000 [2 per cell]
Dy: 0.0000 0.0000 0.6882 [2 per cell]
Os: 0.0000 0.0000 0.8541 [2 per cell]

Calculated values
ΔH_f (0 K): 0.8360 eV per atom
offset from the most stable computed form: 1.085 eV/atom



## LiCuRh2 (PBE)

Data for an optimized crystal structure of LiCuRh2.

Cell: 2.7556 2.7556 7.0598 Å, 90.00 90.00 90.00°
Space group P4mm (No. 99)
Symmetry-distinct sites (fractional):
Li: 0.0000 0.0000 0.0000 [1 per cell]
Cu: 0.5000 0.5000 0.7622 [1 per cell]
Rh: 0.0000 0.0000 0.5103 [1 per cell]
Rh: 0.5000 0.5000 0.2558 [1 per cell]

Calculated values
ΔH_f (0 K): -0.0034 eV per atom



## ErNpAgO6 (PBE)

Data for an optimized crystal structure of ErNpAgO6.

Cell: 5.1678 5.1678 9.9254 Å, 90.00 90.00 90.00°
Space group P4_2nm (No. 102)
Symmetry-distinct sites (fractional):
Er: 0.0000 0.0000 0.0000 [2 per cell]
Np: 0.0000 0.0000 0.6581 [2 per cell]
Ag: 0.0000 0.0000 0.3247 [2 per cell]
O: 0.1747 0.1747 0.8097 [4 per cell]
O: 0.1887 0.1887 0.5074 [4 per cell]
O: 0.2137 0.2137 0.1565 [4 per cell]

Calculated values
ΔE_f (raw): -20.10 eV/f.u.



For the records above, the corresponding total magnetic moment values read 0.000, 15.105, 0.875, 0.000, 0.000, 0.001, 3.372, 1.766, 8.004, 0.798, 1.212, 0.000, 0.002, 0.000, 0.000, 0.000, 0.000, 0.001, 0.000, 1.044 μB per formula unit.